## a
## CoSnSe2N (GGA-PBE)

Data for a geometry-optimized CoSnSe2N structure.

Properties
Size of the total moment, Bohr magnetons per cell: 0.00

a b c (Å): 5.101 5.101 3.450
angles (deg): 90.00 90.00 90.00
Space group P4/mmm (No. 123)
Symmetry-distinct sites (fractional):
Co 0.000 0.000 0.000 [1 per cell]
Sn 0.500 0.500 0.500 [1 per cell]
Se 0.000 0.500 0.000 [2 per cell]
N 0.000 0.000 0.500 [1 per cell]

---

## b
## CoSnSe2N (GGA-PBE)

Data for a geometry-optimized CoSnSe2N structure.

Properties
Size of the total moment, Bohr magnetons per cell: 2.74

a b c (Å): 5.361 5.361 3.935
angles (deg): 90.00 90.00 90.00
Space group P4/mmm (No. 123)
Symmetry-distinct sites (fractional):
Co 0.000 0.000 0.000 [1 per cell]
Sn 0.500 0.500 0.500 [1 per cell]
Se 0.000 0.500 0.500 [2 per cell]
N 0.500 0.500 0.000 [1 per cell]

---

Quick ranking, most stable first: a, b.

---

## a
## TiCoSe2N (GGA-PBE)

Data for a geometry-optimized TiCoSe2N structure.

Properties
Size of the total moment, Bohr magnetons per cell: 1.99

a b c (Å): 5.067 5.067 3.717
angles (deg): 90.00 90.00 90.00
Space group P4/mmm (No. 123)
Symmetry-distinct sites (fractional):
Ti 0.000 0.000 0.000 [1 per cell]
Co 0.500 0.500 0.500 [1 per cell]
Se 0.000 0.500 0.000 [2 per cell]
N 0.000 0.000 0.500 [1 per cell]

---

## b
## TiCoSe2N (GGA-PBE)

Data for a geometry-optimized TiCoSe2N structure.

Properties
Size of the total moment, Bohr magnetons per cell: 0.31

a b c (Å): 4.864 4.864 3.395
angles (deg): 90.00 90.00 90.00
Space group P4/mmm (No. 123)
Symmetry-distinct sites (fractional):
Ti 0.000 0.000 0.000 [1 per cell]
Co 0.500 0.500 0.500 [1 per cell]
Se 0.000 0.500 0.500 [2 per cell]
N 0.500 0.500 0.000 [1 per cell]

---

Quick ranking, most stable first: b, a.

---

## a
## TlCoSeN2 (GGA-PBE)

Data for a geometry-optimized TlCoSeN2 structure.

Properties
Size of the total moment, Bohr magnetons per cell: 3.62

a b c (Å): 3.872 3.872 5.176
angles (deg): 90.00 90.00 90.00
Space group P4/mmm (No. 123)
Symmetry-distinct sites (fractional):
Tl 0.000 0.000 0.000 [1 per cell]
Co 0.500 0.500 0.500 [1 per cell]
Se 0.500 0.500 0.000 [1 per cell]
N 0.000 0.500 0.500 [2 per cell]

---

## b
## TlCoSeN2 (GGA-PBE)

Data for a geometry-optimized TlCoSeN2 structure.

Properties
Size of the total moment, Bohr magnetons per cell: 5.45

a b c (Å): 4.189 4.189 5.986
angles (deg): 90.00 90.00 90.00
Space group P4/mmm (No. 123)
Symmetry-distinct sites (fractional):
Tl 0.000 0.000 0.000 [1 per cell]
Co 0.500 0.500 0.500 [1 per cell]
Se 0.000 0.000 0.500 [1 per cell]
N 0.000 0.500 0.000 [2 per cell]

---

Quick ranking, most stable first: a, b.

---

## a
## CoWSeN2 (GGA-PBE)

Data for a geometry-optimized CoWSeN2 structure.

Properties
Size of the total moment, Bohr magnetons per cell: 2.36

a b c (Å): 3.862 3.862 5.358
angles (deg): 90.00 90.00 90.00
Space group P4/mmm (No. 123)
Symmetry-distinct sites (fractional):
Co 0.000 0.000 0.000 [1 per cell]
W 0.500 0.500 0.500 [1 per cell]
Se 0.500 0.500 0.000 [1 per cell]
N 0.000 0.500 0.500 [2 per cell]

---

## b
## CoWSeN2 (GGA-PBE)

Data for a geometry-optimized CoWSeN2 structure.

Properties
Size of the total moment, Bohr magnetons per cell: 0.00

a b c (Å): 3.684 3.684 4.650
angles (deg): 90.00 90.00 90.00
Space group P4/mmm (No. 123)
Symmetry-distinct sites (fractional):
Co 0.000 0.000 0.000 [1 per cell]
W 0.500 0.500 0.500 [1 per cell]
Se 0.000 0.000 0.500 [1 per cell]
N 0.000 0.500 0.000 [2 per cell]

---

Quick ranking, most stable first: a, b.

---

## a
## YCoSe2N (GGA-PBE)

Data for a geometry-optimized YCoSe2N structure.

Properties
Size of the total moment, Bohr magnetons per cell: 2.73

a b c (Å): 5.504 5.504 4.222
angles (deg): 90.00 90.00 90.00
Space group P4/mmm (No. 123)
Symmetry-distinct sites (fractional):
Y 0.000 0.000 0.000 [1 per cell]
Co 0.500 0.500 0.500 [1 per cell]
Se 0.000 0.500 0.000 [2 per cell]
N 0.000 0.000 0.500 [1 per cell]

---

## b
## YCoSe2N (GGA-PBE)

Data for a geometry-optimized YCoSe2N structure.

Properties
Size of the total moment, Bohr magnetons per cell: 0.00

a b c (Å): 4.964 4.964 3.535
angles (deg): 90.00 90.00 90.00
Space group P4/mmm (No. 123)
Symmetry-distinct sites (fractional):
Y 0.000 0.000 0.000 [1 per cell]
Co 0.500 0.500 0.500 [1 per cell]
Se 0.000 0.500 0.500 [2 per cell]
N 0.500 0.500 0.000 [1 per cell]

---

Quick ranking, most stable first: b, a.

---

## a
## ZnCoSeN2 (GGA-PBE)

Data for a geometry-optimized ZnCoSeN2 structure.

Properties
Size of the total moment, Bohr magnetons per cell: 4.66

a b c (Å): 3.722 3.722 5.887
angles (deg): 90.00 90.00 90.00
Space group P4/mmm (No. 123)
Symmetry-distinct sites (fractional):
Zn 0.000 0.000 0.000 [1 per cell]
Co 0.500 0.500 0.500 [1 per cell]
Se 0.000 0.000 0.500 [1 per cell]
N 0.000 0.500 0.000 [2 per cell]

---

## b
## ZnCoSeN2 (GGA-PBE)

Data for a geometry-optimized ZnCoSeN2 structure.

Properties
Size of the total moment, Bohr magnetons per cell: 0.00

a b c (Å): 3.595 3.595 5.428
angles (deg): 90.00 90.00 90.00
Space group P4/mmm (No. 123)
Symmetry-distinct sites (fractional):
Zn 0.000 0.000 0.000 [1 per cell]
Co 0.500 0.500 0.500 [1 per cell]
Se 0.500 0.500 0.000 [1 per cell]
N 0.000 0.500 0.500 [2 per cell]

---

Quick ranking, most stable first: b, a.